Entry 1:
Here is a relaxed structure of NaPa2In3Te6 from the Alexandria database. Energies are from GGA-PBE.

Computed properties:
**Formation energy (no corrections)**: -0.5871 eV per atom
**Symmetry**: No. 12
**Energy**: -54.42 eV per formula unit
**Calculated density**: 6.367 g/cm³

Unit cell a=4.3865 b=9.6978 c=10.5976 alpha=108.97 beta=101.94 gamma=90.00
Closest atoms and distances in Å follow each position.
Positions (direct):
Na1 0.5000 0.0000 0.0000  6 Te 3.23-3.38
Pa1 0.8329 0.6718 0.6658  6 Te 2.95-3.13
Pa2 0.1671 0.3282 0.3342  6 Te 2.95-3.13
In1 0.5000 0.5000 0.0000  6 Te 3.34-3.43
In2 0.8437 0.1698 0.6873  6 Te 3.40-3.50
In3 0.1563 0.8302 0.3127  6 Te 3.40-3.50
Te1 0.3276 0.8924 0.6552  2 Pa 3.09, 1 Na 3.38, 3 In 3.40
Te2 0.6726 0.5618 0.3453  3 Pa 3.13, 1 In 3.43
Te3 0.6724 0.1076 0.3448  2 Pa 3.09, 1 Na 3.38, 3 In 3.40
Te4 0.0169 0.2543 0.0338  1 Pa 2.95, 2 Na 3.23
Te5 0.9831 0.7457 0.9662  1 Pa 2.95, 2 Na 3.23
Te6 0.3274 0.4382 0.6547  3 Pa 3.13, 1 In 3.43

Entry 2:
Here is a relaxed structure of NaInPb5 from the Alexandria database. Energies are from GGA-PBE.

Computed properties:
**Symmetry**: No. 15
**Energy**: -22.67 eV per formula unit
**Calculated density**: 8.954 g/cm³

Unit cell a=6.5300 b=9.2970 c=8.6530 alpha=122.49 beta=99.03 gamma=90.00
Closest atoms and distances in Å follow each position.
Positions (direct):
Na1 0.0000 0.0000 0.0000  6 Pb 3.34-3.55
Na2 0.5000 0.5000 0.0000  6 Pb 3.34-3.55
In1 0.7500 0.2568 0.5000  9 Pb 3.20-3.46
In2 0.2500 0.7432 0.5000  9 Pb 3.20-3.46
Pb1 0.4958 0.7818 0.8730  1 In 3.20, 2 Na 3.34-3.55, 4 Pb 3.41-3.52
Pb2 0.3464 0.9494 0.2934  1 Na 3.36, 2 In 3.36-3.37, 8 Pb 3.41-3.73
Pb3 0.9958 0.5912 0.8730  1 In 3.20, 2 Na 3.34-3.55, 4 Pb 3.41-3.52
Pb4 0.7500 0.6211 0.5000  3 In 3.39-3.46, 6 Pb 3.45-3.52
Pb5 0.1536 0.1560 0.7066  1 Na 3.36, 2 In 3.36-3.37, 8 Pb 3.41-3.73
Pb6 0.8464 0.8440 0.2934  1 Na 3.36, 2 In 3.36-3.37, 8 Pb 3.41-3.73
Pb7 0.2500 0.3789 0.5000  3 In 3.39-3.46, 6 Pb 3.45-3.52
Pb8 0.0042 0.4088 0.1270  1 In 3.20, 2 Na 3.34-3.55, 4 Pb 3.41-3.52
Pb9 0.6536 0.0506 0.7066  1 Na 3.36, 2 In 3.36-3.37, 8 Pb 3.41-3.73
Pb10 0.5042 0.2182 0.1270  1 In 3.20, 2 Na 3.34-3.55, 4 Pb 3.41-3.52

Entry 3:
Here is a relaxed structure of NaInPb from the Alexandria database. Energies are from GGA-PBE.

Computed properties:
**Symmetry**: No. 6
**Energy**: -8.08 eV per formula unit
**Calculated density**: 6.686 g/cm³

Unit cell a=3.4253 b=5.3612 c=9.3331 alpha=90.00 beta=89.55 gamma=89.99
Closest atoms and distances in Å follow each position.
Positions (direct):
Pb1 0.4270 0.9300 0.5724  2 In 3.15, 3 Pb 3.26-3.43, 3 Na 3.36-3.44
Pb2 0.5992 0.9298 0.2286  2 In 3.15, 3 Pb 3.26-3.43, 3 Na 3.36-3.44
Na1 0.0111 0.4303 0.4014  2 Na 3.43, 8 Pb 3.43-3.72, 4 In 3.47-3.75
Na2 0.0116 0.9299 0.9003  4 Pb 3.36-3.68, 8 In 3.40-3.66, 2 Na 3.43
In1 0.5843 0.4299 0.7398  1 In 3.05, 2 Pb 3.15, 2 Na 3.41
In2 0.4322 0.4297 0.0624  1 In 3.05, 2 Pb 3.15, 2 Na 3.40

What did the first record say?
Here is a relaxed structure of NaPa2In3Te6 from the Alexandria database. Energies are from GGA-PBE.

Computed properties:
**Formation energy (no corrections)**: -0.5871 eV per atom
**Symmetry**: No. 12
**Energy**: -54.42 eV per formula unit
**Calculated density**: 6.367 g/cm³

Unit cell a=4.3865 b=9.6978 c=10.5976 alpha=108.97 beta=101.94 gamma=90.00
Closest atoms and distances in Å follow each position.
Positions (direct):
Na1 0.5000 0.0000 0.0000  6 Te 3.23-3.38
Pa1 0.8329 0.6718 0.6658  6 Te 2.95-3.13
Pa2 0.1671 0.3282 0.3342  6 Te 2.95-3.13
In1 0.5000 0.5000 0.0000  6 Te 3.34-3.43
In2 0.8437 0.1698 0.6873  6 Te 3.40-3.50
In3 0.1563 0.8302 0.3127  6 Te 3.40-3.50
Te1 0.3276 0.8924 0.6552  2 Pa 3.09, 1 Na 3.38, 3 In 3.40
Te2 0.6726 0.5618 0.3453  3 Pa 3.13, 1 In 3.43
Te3 0.6724 0.1076 0.3448  2 Pa 3.09, 1 Na 3.38, 3 In 3.40
Te4 0.0169 0.2543 0.0338  1 Pa 2.95, 2 Na 3.23
Te5 0.9831 0.7457 0.9662  1 Pa 2.95, 2 Na 3.23
Te6 0.3274 0.4382 0.6547  3 Pa 3.13, 1 In 3.43